# TcHg3N | the Alexandria database | PBE-GGA | relaxed
# * offset from the most stable computed form: 0.490 eV per atom
# * total magnetization: 2.7 μB per cell
# * crystal system: cubic
# * energy relative to the elements, uncorrected: 1962 meV per atom
data_TcHg3N
_space_group_name_H-M_alt 'P m -3 m'
_space_group_IT_number 221
_space_group_name_Hall '-P 4 2 3'
_cell_length_a 5.338
_cell_length_b 5.338
_cell_length_c 5.338
_cell_angle_alpha 90.00
_cell_angle_beta 90.00
_cell_angle_gamma 90.00
loop_
_atom_site_label
_atom_site_fract_x
_atom_site_fract_y
_atom_site_fract_z
_atom_site_occupancy
Tc1 0.000 0.000 0.000 1
Hg1 0.000 0.000 0.500 1
N1 0.500 0.500 0.500 1